This record from Alexandria via LeMat-Bulk describes a relaxed structure of ZnNiAgF6. The functional is PBE+U.

Geometry as CIF:
```
data_ZnNiAgF6
_space_group_name_H-M_alt 'P -3 1 c'
_space_group_IT_number 163
_space_group_name_Hall '-P 3 2c'
_cell_length_a 5.3330
_cell_length_b 5.3330
_cell_length_c 9.5157
_cell_angle_alpha 90.00
_cell_angle_beta 90.00
_cell_angle_gamma 120.00
loop_
_atom_site_label
_atom_site_type_symbol
_atom_site_fract_x
_atom_site_fract_y
_atom_site_fract_z
Zn1 Zn 0.3333 0.6667 0.2500
Ni1 Ni 0.3333 0.6667 0.7500
Ag1 Ag 0.0000 0.0000 0.0000
F1 F 0.0024 0.3546 0.6364
```

- Raw total energy: -0.1405 hartree per atom